Record 1
An optimized crystal structure of HoAs, computed with PBE.

CIF file:
```
data_HoAs
_space_group_name_H-M_alt 'P 1'
_space_group_IT_number 1
_space_group_name_Hall 'P 1'
_cell_length_a 6.188
_cell_length_b 5.586
_cell_length_c 5.506
_cell_angle_alpha 90.00
_cell_angle_beta 90.00
_cell_angle_gamma 90.00
loop_
_atom_site_label
_atom_site_fract_x
_atom_site_fract_y
_atom_site_fract_z
As1 0.250 0.000 0.336
As2 0.750 0.500 0.026
As3 0.250 0.500 0.974
As4 0.750 0.000 0.664
Ho1 0.000 0.500 0.500
Ho2 0.500 0.500 0.500
Ho3 0.750 0.000 0.169
Ho4 0.250 0.000 0.831
```

Properties
symmetry: Pmma
crystal system: orthorhombic
E: -5.525 eV per atom

=====

Record 2
An optimized crystal structure of ZrCuTcSn, computed with PBE.

CIF file:
```
data_ZrCuTcSn
_space_group_name_H-M_alt 'P 1'
_space_group_IT_number 1
_space_group_name_Hall 'P 1'
_cell_length_a 4.655
_cell_length_b 4.655
_cell_length_c 4.655
_cell_angle_alpha 60.00
_cell_angle_beta 60.00
_cell_angle_gamma 60.00
loop_
_atom_site_label
_atom_site_fract_x
_atom_site_fract_y
_atom_site_fract_z
Tc1 0.500 0.500 0.500
Cu1 0.750 0.750 0.750
Zr1 0.250 0.250 0.250
Sn1 0.000 0.000 0.000
```

Properties
symmetry: F-43m
crystal system: cubic
energy relative to the lowest polymorph listed for this composition: 285 meV/atom

=====

Record 3
An optimized crystal structure of KCu2AsS4, computed with PBE.

CIF file:
```
data_KCu2AsS4
_space_group_name_H-M_alt 'P 1'
_space_group_IT_number 1
_space_group_name_Hall 'P 1'
_cell_length_a 7.350
_cell_length_b 9.851
_cell_length_c 9.851
_cell_angle_alpha 146.48
_cell_angle_beta 90.00
_cell_angle_gamma 90.00
loop_
_atom_site_label
_atom_site_fract_x
_atom_site_fract_y
_atom_site_fract_z
Cu1 0.500 0.981 0.981
Cu2 0.000 0.981 0.981
Cu3 0.750 0.639 0.416
Cu4 0.250 0.416 0.639
S1 0.494 0.690 0.913
S2 0.994 0.913 0.690
S3 0.750 0.473 0.044
S4 0.006 0.690 0.913
S5 0.506 0.913 0.690
S6 0.250 0.220 0.264
S7 0.750 0.264 0.220
S8 0.250 0.044 0.473
K1 0.250 0.442 0.078
K2 0.750 0.078 0.442
As1 0.250 0.910 0.153
As2 0.750 0.153 0.910
```

Properties
symmetry: Ama2
crystal system: orthorhombic
E: -3.999 eV per atom

=====

Record 4
An optimized crystal structure of LuFePtPb, computed with PBE.

CIF file:
```
data_LuFePtPb
_space_group_name_H-M_alt 'P 1'
_space_group_IT_number 1
_space_group_name_Hall 'P 1'
_cell_length_a 4.765
_cell_length_b 4.765
_cell_length_c 4.765
_cell_angle_alpha 60.00
_cell_angle_beta 60.00
_cell_angle_gamma 60.00
loop_
_atom_site_label
_atom_site_fract_x
_atom_site_fract_y
_atom_site_fract_z
Fe1 0.750 0.750 0.750
Pt1 0.250 0.250 0.250
Lu1 0.500 0.500 0.500
Pb1 0.000 0.000 0.000
```

Properties
symmetry: F-43m
crystal system: cubic
energy relative to the lowest polymorph listed for this composition: 0 meV/atom

=====

Record 5
An optimized crystal structure of CdFeCuSi, computed with PBE.

CIF file:
```
data_CdFeCuSi
_space_group_name_H-M_alt 'P 1'
_space_group_IT_number 1
_space_group_name_Hall 'P 1'
_cell_length_a 4.286
_cell_length_b 4.286
_cell_length_c 4.286
_cell_angle_alpha 60.00
_cell_angle_beta 60.00
_cell_angle_gamma 60.00
loop_
_atom_site_label
_atom_site_fract_x
_atom_site_fract_y
_atom_site_fract_z
Cu1 0.750 0.750 0.750
Cd1 0.500 0.500 0.500
Fe1 0.250 0.250 0.250
Si1 0.000 0.000 0.000
```

Properties
symmetry: F-43m
crystal system: cubic
energy relative to the lowest polymorph listed for this composition: 0 meV/atom

=====

Record 6
An optimized crystal structure of Pr2YSi4Au4, computed with PBE.

CIF file:
```
data_Pr2YSi4Au4
_space_group_name_H-M_alt 'P 1'
_space_group_IT_number 1
_space_group_name_Hall 'P 1'
_cell_length_a 12.937
_cell_length_b 12.937
_cell_length_c 12.937
_cell_angle_alpha 161.16
_cell_angle_beta 160.87
_cell_angle_gamma 26.97
loop_
_atom_site_label
_atom_site_fract_x
_atom_site_fract_y
_atom_site_fract_z
Si1 0.453 0.453 0.000
Si2 0.809 0.309 0.500
Si3 0.547 0.547 0.000
Si4 0.191 0.691 0.500
Au1 0.251 0.251 0.000
Au2 0.093 0.593 0.500
Au3 0.907 0.407 0.500
Au4 0.749 0.749 0.000
Pr1 0.647 0.147 0.500
Pr2 0.353 0.853 0.500
Y1 0.000 0.000 0.000
```

Properties
symmetry: Immm
crystal system: orthorhombic
E: -5.357 eV per atom

=====

Record 7
An optimized crystal structure of Al2Tc2O5, computed with PBE.

CIF file:
```
data_Al2Tc2O5
_space_group_name_H-M_alt 'P 1'
_space_group_IT_number 1
_space_group_name_Hall 'P 1'
_cell_length_a 6.510
_cell_length_b 3.961
_cell_length_c 3.961
_cell_angle_alpha 90.00
_cell_angle_beta 90.00
_cell_angle_gamma 90.00
loop_
_atom_site_label
_atom_site_fract_x
_atom_site_fract_y
_atom_site_fract_z
O1 0.809 0.000 0.500
O2 0.191 0.000 0.500
O3 0.500 0.500 0.500
O4 0.191 0.500 0.000
O5 0.809 0.500 0.000
Tc1 0.175 0.500 0.500
Tc2 0.825 0.500 0.500
Al1 0.500 0.000 0.000
Al2 0.000 0.000 0.000
```

Properties
symmetry: P4/mmm
crystal system: tetragonal
E: -6.728 eV per atom

=====

Record 8
An optimized crystal structure of LiTmMg, computed with PBE.

CIF file:
```
data_LiTmMg
_space_group_name_H-M_alt 'P 1'
_space_group_IT_number 1
_space_group_name_Hall 'P 1'
_cell_length_a 5.076
_cell_length_b 5.076
_cell_length_c 5.076
_cell_angle_alpha 60.00
_cell_angle_beta 60.00
_cell_angle_gamma 60.00
loop_
_atom_site_label
_atom_site_fract_x
_atom_site_fract_y
_atom_site_fract_z
Mg1 0.750 0.750 0.750
Tm1 0.000 0.000 0.000
Li1 0.250 0.250 0.250
```

Properties
symmetry: F-43m
crystal system: cubic
energy relative to the lowest polymorph listed for this composition: 311 meV/atom

=====

Record 9
An optimized crystal structure of SmTlNiTe3, computed with PBE.

CIF file:
```
data_SmTlNiTe3
_space_group_name_H-M_alt 'P 1'
_space_group_IT_number 1
_space_group_name_Hall 'P 1'
_cell_length_a 11.301
_cell_length_b 8.207
_cell_length_c 8.207
_cell_angle_alpha 29.40
_cell_angle_beta 90.00
_cell_angle_gamma 90.00
loop_
_atom_site_label
_atom_site_fract_x
_atom_site_fract_y
_atom_site_fract_z
Te1 0.500 0.926 0.926
Te2 0.667 0.634 0.634
Te3 0.333 0.634 0.634
Te4 0.167 0.366 0.366
Te5 0.833 0.366 0.366
Te6 0.000 0.074 0.074
Sm1 0.750 0.000 0.000
Sm2 0.250 0.000 0.000
Tl1 0.000 0.747 0.747
Tl2 0.500 0.253 0.253
Ni1 0.000 0.476 0.476
Ni2 0.500 0.524 0.524
```

Properties
symmetry: Cmcm
crystal system: orthorhombic
energy relative to the lowest polymorph listed for this composition: 0 meV/atom

=====

Record 10
An optimized crystal structure of FeSn2Hg, computed with PBE.

CIF file:
```
data_FeSn2Hg
_space_group_name_H-M_alt 'P 1'
_space_group_IT_number 1
_space_group_name_Hall 'P 1'
_cell_length_a 4.943
_cell_length_b 4.943
_cell_length_c 4.943
_cell_angle_alpha 60.00
_cell_angle_beta 60.00
_cell_angle_gamma 60.00
loop_
_atom_site_label
_atom_site_fract_x
_atom_site_fract_y
_atom_site_fract_z
Hg1 0.500 0.500 0.500
Fe1 0.750 0.750 0.750
Sn1 0.000 0.000 0.000
Sn2 0.250 0.250 0.250
```

Properties
symmetry: F-43m
crystal system: cubic
E: -3.620 eV per atom

=====

Record 11
An optimized crystal structure of HfCoSb, computed with PBE.

CIF file:
```
data_HfCoSb
_space_group_name_H-M_alt 'P 1'
_space_group_IT_number 1
_space_group_name_Hall 'P 1'
_cell_length_a 7.827
_cell_length_b 7.827
_cell_length_c 3.133
_cell_angle_alpha 90.00
_cell_angle_beta 90.00
_cell_angle_gamma 120.00
loop_
_atom_site_label
_atom_site_fract_x
_atom_site_fract_y
_atom_site_fract_z
Sb1 0.000 0.000 0.000
Sb2 0.333 0.667 0.500
Sb3 0.667 0.333 0.500
Hf1 0.000 0.300 0.500
Hf2 0.300 0.000 0.500
Hf3 0.700 0.700 0.500
Co1 0.652 0.000 0.000
Co2 0.348 0.348 0.000
Co3 0.000 0.652 0.000
```

Properties
symmetry: P-62m
crystal system: hexagonal
E: -6.951 eV per atom

=====

Record 12
An optimized crystal structure of AcNpPt, computed with PBE.

CIF file:
```
data_AcNpPt
_space_group_name_H-M_alt 'P 1'
_space_group_IT_number 1
_space_group_name_Hall 'P 1'
_cell_length_a 4.948
_cell_length_b 4.948
_cell_length_c 4.948
_cell_angle_alpha 60.00
_cell_angle_beta 60.00
_cell_angle_gamma 60.00
loop_
_atom_site_label
_atom_site_fract_x
_atom_site_fract_y
_atom_site_fract_z
Ac1 0.000 0.000 0.000
Np1 0.250 0.250 0.250
Pt1 0.750 0.750 0.750
```

Properties
symmetry: F-43m
crystal system: cubic
energy relative to the lowest polymorph listed for this composition: 618 meV/atom
formation energy: 0.423 eV/atom